Record 1
A plane-wave DFT calculation with PBE was carried out for a relaxed structure of EuTlPd2.

Properties
Space-group type: P4/mmm
DFT formation energy (eV per atom): -0.387
DOS at the Fermi energy (states/eV/f.u.): 13.92

extended XYZ file:
```
4
Lattice="3.605 0.000 0.000 0.000 3.605 0.000 0.000 0.000 6.667" Properties=species:S:1:pos:R:3 pbc="T T T"
Eu 0.000 0.000 0.000
Tl 0.000 0.000 3.333
Pd 1.803 1.803 1.847
Pd 1.803 1.803 4.819
```

***

Record 2
A plane-wave DFT calculation with PBE was carried out for a relaxed structure of Eu2TlPd.

Properties
Distance to the lowest polymorph of the same formula (meV per atom): 72
Space-group type: Fm-3m
DFT formation energy (eV per atom): -0.445
DOS at the Fermi energy (states/eV/f.u.): 17.40

extended XYZ file:
```
4
Lattice="0.000 3.804 3.804 3.804 0.000 3.804 3.804 3.804 0.000" Properties=species:S:1:pos:R:3 pbc="T T T"
Eu 1.902 1.902 1.902
Eu 5.707 5.707 5.707
Tl 0.000 0.000 0.000
Pd 3.804 3.804 3.804
```

***

Record 3
A plane-wave DFT calculation with PBE was carried out for a relaxed structure of EuTmTlPd.

Properties
Space-group type: F-43m
DFT formation energy (eV per atom): -0.468
DOS at the Fermi energy (states/eV/f.u.): 8.52

extended XYZ file:
```
4
Lattice="0.000 3.702 3.702 3.702 0.000 3.702 3.702 3.702 0.000" Properties=species:S:1:pos:R:3 pbc="T T T"
Eu 0.000 0.000 0.000
Tm 3.702 3.702 3.702
Tl 5.552 5.552 5.552
Pd 1.851 1.851 1.851
```